This record from Alexandria via LeMat-Bulk describes crystalline K3SrSn8 at its relaxed geometry. The functional is PBE.

Total energy: -3.341 eV/atom
Fermi-level density of states: 1.0130 states/eV per atom
Total magnetization: 0.00 μB per formula unit
Theoretical density: 5.021 Mg/m³
Space-group type: No. 160

Geometry as POSCAR:
```
K3SrSn8
1.0
-4.0331 5.0979 1.0515
-5.0443 1.1048 -4.0859
-8.9806 -3.8307 4.7452
K Sr Sn
3 1 8
direct
0.3748 0.3748 0.8757 K
0.0020 0.0020 0.9939 K
0.4975 0.4975 0.5075 K
0.8764 0.8764 0.3708 Sr
0.9329 0.4371 0.1928 Sn
0.4447 0.9364 0.6825 Sn
0.4371 0.4371 0.1928 Sn
0.9364 0.9364 0.6825 Sn
0.1873 0.1873 0.4381 Sn
0.6873 0.6873 0.9382 Sn
0.4371 0.9329 0.1928 Sn
0.9364 0.4447 0.6825 Sn
```



This record from Alexandria via LeMat-Bulk describes crystalline Hg2GeCl2 at its relaxed geometry. The functional is PBE.

Fermi-level density of states: 0.2793 states/eV per atom
Total magnetization: 0.00 μB per formula unit
E_form (uncorrected): -0.03 eV per atom
ΔE to the lowest computed polymorph: 0.000 eV per atom
Theoretical density: 7.137 Mg/m³
Space-group type: No. 127

Geometry as POSCAR:
```
Hg2GeCl2
1.0
-6.9690 1.9323 0.9843
-0.5863 -4.8684 5.4060
1.3611 3.3137 3.1318
Ge Hg Cl
2 4 4
direct
0.0000 0.0000 0.0000 Ge
0.5000 0.5000 0.0000 Ge
0.3584 0.8584 0.0000 Hg
0.8584 0.6416 0.0000 Hg
0.6416 0.1416 0.0000 Hg
0.1416 0.3584 0.0000 Hg
0.1785 0.6785 0.5000 Cl
0.6785 0.8215 0.5000 Cl
0.8215 0.3215 0.5000 Cl
0.3215 0.1785 0.5000 Cl
```



- The highest Fermi-level density of states belongs to which entry?
  K3SrSn8